PaTc2Ir: relaxed, PBE.

Lattice parameters (Å, degrees): 4.0920 4.0920 4.0722 90.00 90.00 90.00
Closest atoms and distances in Å follow each position.
Element x y z (fractional)
Pa1 0.0000 0.0000 0.0000  8 Tc 2.89, 4 Ir 2.89
Tc1 0.0000 0.5000 0.5000  4 Pa 2.89, 4 Ir 2.89, 4 Tc 2.89
Tc2 0.5000 0.0000 0.5000  4 Pa 2.89, 4 Ir 2.89, 4 Tc 2.89
Ir1 0.5000 0.5000 0.0000  8 Tc 2.89, 4 Pa 2.89

Total energy in eV/atom: -10.069
Energy of formation from the pure elements in eV per atom: -0.297
Distance to the lowest polymorph of the same formula in eV per atom: 0.000
Spin magnetization in Bohr magnetons per cell: 0.0